[1]
Here is a relaxed NbNiPd2 crystal from Alexandria via LeMat-Bulk. Energies are from PBE-GGA.

Output
- Energy relative to the lowest polymorph listed for this composition: 0.158 eV per atom
- DFT formation energy: -198 meV/atom

Unit cell a=3.934 b=3.885 c=3.885 alpha=90.00 beta=90.00 gamma=90.00
Each line ends with the local moment (μB).
Positions (direct):
Ni (0.500, 0.000, 0.000)  0.19
Pd (0.000, 0.500, 0.000)  0.05
Pd (0.000, 0.000, 0.500)  0.05
Nb (0.500, 0.500, 0.500)  0.61

***

[2]
Here is a relaxed SiTe crystal from Alexandria via LeMat-Bulk. Energies are from PBE-GGA.

Output
- E_form (uncorrected): 0.284 eV/atom

Unit cell a=9.208 b=9.208 c=5.916 alpha=90.00 beta=90.00 gamma=90.00
Positions (direct):
Si (0.825, 0.425, 0.000)
Si (0.575, 0.825, 0.000)
Si (0.425, 0.175, 0.000)
Si (0.925, 0.675, 0.500)
Si (0.675, 0.075, 0.500)
Si (0.325, 0.925, 0.500)
Si (0.075, 0.325, 0.500)
Si (0.175, 0.575, 0.000)
Te (0.084, 0.297, 0.000)
Te (0.916, 0.703, 0.000)
Te (0.703, 0.084, 0.000)
Te (0.203, 0.584, 0.500)
Te (0.416, 0.203, 0.500)
Te (0.297, 0.916, 0.000)
Te (0.584, 0.797, 0.500)
Te (0.797, 0.416, 0.500)

***

[3]
Here is a relaxed LaPm2Sm5Mg crystal from Alexandria via LeMat-Bulk. Energies are from PBE-GGA.

Output
- DFT formation energy: 91 meV/atom

Unit cell a=5.567 b=10.484 c=10.853 alpha=90.00 beta=90.00 gamma=105.40
Positions (direct):
Sm (0.500, 0.999, 0.758)
Sm (0.385, 0.770, 0.008)
Sm (0.013, 0.027, 0.008)
Sm (0.710, 0.420, 0.807)
Sm (0.615, 0.230, 0.508)
Sm (0.290, 0.580, 0.307)
Sm (0.987, 0.973, 0.508)
Sm (0.290, 0.581, 0.710)
Sm (0.500, 0.001, 0.258)
Sm (0.710, 0.419, 0.210)
La (0.796, 0.591, 0.508)
La (0.204, 0.409, 0.008)
Pm (0.115, 0.229, 0.299)
Pm (0.885, 0.771, 0.218)
Pm (0.115, 0.229, 0.718)
Pm (0.885, 0.771, 0.799)
Mg (0.594, 0.188, 0.007)
Mg (0.406, 0.812, 0.507)

***

[4]
Here is a relaxed LaNd14Y crystal from Alexandria via LeMat-Bulk. Energies are from PBE-GGA.

Output
- DFT formation energy: 12 meV/atom

Unit cell a=7.356 b=7.356 c=10.414 alpha=90.00 beta=90.00 gamma=90.01
Positions (direct):
Nd (0.624, 0.874, 0.250)
Nd (0.126, 0.376, 0.250)
Nd (0.375, 0.625, 0.500)
Nd (0.375, 0.125, 0.000)
Nd (0.624, 0.376, 0.250)
Nd (0.624, 0.376, 0.750)
Nd (0.126, 0.376, 0.750)
Nd (0.875, 0.625, 0.000)
Nd (0.875, 0.625, 0.500)
Nd (0.375, 0.125, 0.500)
Nd (0.126, 0.874, 0.750)
Nd (0.875, 0.125, 0.500)
Nd (0.624, 0.874, 0.750)
Nd (0.126, 0.874, 0.250)
Y (0.375, 0.625, 0.000)
La (0.875, 0.125, 0.000)

***

[5]
Here is a relaxed RbLaGa2F crystal from Alexandria via LeMat-Bulk. Energies are from PBE-GGA.

Output
- E_form (uncorrected): -0.787 eV/atom

Unit cell a=6.431 b=4.648 c=6.431 alpha=90.00 beta=90.00 gamma=90.00
Positions (direct):
Rb (0.500, 0.500, 0.500)
F (0.000, 0.500, 0.000)
Ga (0.500, 0.000, 0.000)
Ga (0.000, 0.000, 0.500)
La (0.000, 0.000, 0.000)

***

[6]
Here is a relaxed Nb2AlGaBi crystal from Alexandria via LeMat-Bulk. Energies are from PBE-GGA.

Output
- DFT formation energy: 1128 meV/atom

Unit cell a=4.882 b=5.229 c=4.882 alpha=90.00 beta=90.00 gamma=90.00
Positions (direct):
Al (0.500, 0.500, 0.500)
Nb (0.500, 0.000, 0.000)
Nb (0.000, 0.000, 0.500)
Ga (0.000, 0.000, 0.000)
Bi (0.000, 0.500, 0.000)

***

[7]
Here is a relaxed La3Pm2Y6Pu crystal from Alexandria via LeMat-Bulk. Energies are from PBE-GGA.

Output
- DFT formation energy: 43 meV/atom

Unit cell a=6.276 b=6.276 c=11.865 alpha=95.06 beta=95.06 gamma=120.03
Each line ends with the local moment (μB).
Positions (direct):
La (0.500, 0.500, 0.500)  -0.01
La (0.167, 0.833, 0.500)  -0.01
La (0.833, 0.167, 0.500)  -0.01
Y (0.081, 0.410, 0.245)  0.04
Y (0.590, 0.919, 0.755)  0.04
Y (0.248, 0.248, 0.755)  0.04
Y (0.919, 0.590, 0.755)  0.04
Y (0.752, 0.752, 0.245)  0.04
Y (0.410, 0.081, 0.245)  0.04
Pm (0.667, 0.333, 0.000)  0.03
Pm (0.333, 0.667, 0.000)  0.03
Pu (0.000, 0.000, 0.000)  5.59

***

[8]
Here is a relaxed Tl4CdSn2 crystal from Alexandria via LeMat-Bulk. Energies are from PBE-GGA.

Output
- DFT formation energy: 80 meV/atom

Unit cell a=5.255 b=6.491 c=6.491 alpha=97.32 beta=90.00 gamma=90.00
Positions (direct):
Cd (0.000, 0.000, 0.000)
Sn (0.500, 0.187, 0.187)
Sn (0.500, 0.813, 0.813)
Tl (0.500, 0.688, 0.312)
Tl (0.500, 0.312, 0.688)
Tl (0.000, 0.000, 0.500)
Tl (0.000, 0.500, 0.000)

***

Table of energy (eV/cell), in record order: -27.0, -64.0, -77.6, -78.0, -17.8, -25.1, -76.9, -17.8
Table of magnetic moment (μB/atom), in record order: 0.250, 0.000, 0.000, 0.000, 0.055, 0.000, 0.544, 0.000